Entry from Alexandria via LeMat-Bulk: an optimized crystal structure of KCo2Br (PBEsol).

a = 3.5668 Å, b = 3.5668 Å, c = 22.5067 Å
α = 90.00°, β = 90.00°, γ = 120.00°
Last column: nearest neighbours and their distance in Å.
Space group R3m (No. 160, hexagonal axes)
Inequivalent atoms, fractional coordinates:
1 K 0.0000 0.0000 0.0000 x3  3 Br 3.19, 3 Co 3.22, 6 K 3.57
2 Co 0.0000 0.0000 0.1834 x3  3 Co 2.25
3 Co 0.0000 0.0000 0.5566 x3  3 Co 2.25
4 Br 0.0000 0.0000 0.7750 x3  3 Co 2.66

Results
- V (A^3/atom) = 20.66
- energy above the most stable polymorph in this dataset (eV per atom) = 0.000
- uncorrected formation energy (meV per atom) = 299
- energy (hartree per atom) = -0.159

=====

Entry from Alexandria via LeMat-Bulk: an optimized crystal structure of CdRePt2 (PBEsol).

a = 2.7662 Å, b = 2.7662 Å, c = 8.1594 Å
α = 90.00°, β = 90.00°, γ = 90.00°
Last column: nearest neighbours and their distance in Å.
Space group P4/mmm (No. 123)
Inequivalent atoms, fractional coordinates:
1 Cd 0.0000 0.0000 0.0000 x1  4 Cd 2.77, 8 Pt 2.94
2 Re 0.0000 0.0000 0.5000 x1  8 Pt 2.71, 4 Re 2.77
3 Pt 0.5000 0.5000 0.2695 x2  4 Re 2.71, 4 Pt 2.77, 4 Cd 2.94

Results
- V (A^3/atom) = 15.61
- energy of formation (eV/atom) = -0.184
- energy (hartree per atom) = -0.268

=====

Entry from Alexandria via LeMat-Bulk: an optimized crystal structure of KInRu (PBEsol).

a = 3.0436 Å, b = 3.0436 Å, c = 7.8832 Å
α = 90.00°, β = 90.00°, γ = 120.00°
Last column: nearest neighbours and their distance in Å.
Space group P3m1 (No. 156)
Inequivalent atoms, fractional coordinates:
1 K 0.0000 0.0000 0.0000 x1  6 K 3.04, 3 Ru 3.21
2 In 0.6667 0.3333 0.3924 x1  3 Ru 2.74, 6 In 3.04
3 Ru 0.3333 0.6667 0.6595 x1  3 In 2.74, 6 Ru 3.04

Results
- V (A^3/atom) = 21.08
- energy above the most stable polymorph in this dataset (eV per atom) = 0.066
- energy of formation (eV/atom) = 0.731
- energy (hartree per atom) = -0.148

=====

Entry from Alexandria via LeMat-Bulk: an optimized crystal structure of Hg3TePt (PBEsol).

a = 5.4097 Å, b = 5.4097 Å, c = 5.4097 Å
α = 90.00°, β = 90.00°, γ = 90.00°
Last column: nearest neighbours and their distance in Å.
Space group Pm-3m (No. 221)
Inequivalent atoms, fractional coordinates:
1 Hg 0.0000 0.0000 0.5000 x3  2 Te 2.70
2 Te 0.0000 0.0000 0.0000 x1  6 Hg 2.70
3 Pt 0.5000 0.5000 0.5000 x1  12 Hg 3.83

Results
- V (A^3/atom) = 31.66
- uncorrected formation energy (meV per atom) = 1065
- energy (hartree per atom) = -0.050

=====

Entry from Alexandria via LeMat-Bulk: an optimized crystal structure of TlSn3Hg (PBEsol).

a = 5.5080 Å, b = 5.5080 Å, c = 5.5080 Å
α = 90.00°, β = 90.00°, γ = 90.00°
Last column: nearest neighbours and their distance in Å.
Space group Pm-3m (No. 221)
Inequivalent atoms, fractional coordinates:
1 Tl 0.0000 0.0000 0.0000 x1  12 Sn 3.89
2 Sn 0.0000 0.5000 0.5000 x3  2 Hg 2.75
3 Hg 0.5000 0.5000 0.5000 x1  6 Sn 2.75

Results
- V (A^3/atom) = 33.42
- energy above the most stable polymorph in this dataset (eV per atom) = 0.000
- energy of formation (eV/atom) = 0.483
- energy (hartree per atom) = -0.100

=====

Entry from Alexandria via LeMat-Bulk: an optimized crystal structure of MgMo2W (PBEsol).

a = 5.1907 Å, b = 2.6371 Å, c = 5.2330 Å
α = 90.00°, β = 117.04°, γ = 90.00°
Last column: nearest neighbours and their distance in Å.
Space group P2/m (No. 10)
Inequivalent atoms, fractional coordinates:
1 Mg 0.0000 0.0000 0.0000 x1  2 Mg 2.64, 6 Mo 2.72-2.91, 4 W 2.93
2 Mo 0.5000 0.0000 0.5000 x1  6 Mo 2.64-2.93, 2 Mg 2.72, 4 W 2.91
3 Mo 0.5000 0.5000 0.0000 x1  6 Mo 2.64-2.93, 2 W 2.72, 4 Mg 2.91
4 W 0.0000 0.5000 0.5000 x1  2 W 2.64, 6 Mo 2.72-2.91, 4 Mg 2.93

Results
- V (A^3/atom) = 15.95
- energy of formation (eV/atom) = 0.471
- energy (hartree per atom) = -0.342